# Rb2CaOs3O12 | Alexandria | PBE | optimized geometry
data_Rb2CaOs3O12
_cell_length_a 7.3787
_cell_length_b 7.3787
_cell_length_c 19.1737
_cell_angle_alpha 90.00
_cell_angle_beta 90.00
_cell_angle_gamma 120.00
_symmetry_space_group_name_H-M 'R -3 m'
_symmetry_Int_Tables_number 166
_symmetry_space_group_name_Hall '-R 3 2"'
loop_
_atom_site_label
_atom_site_type_symbol
_atom_site_fract_x
_atom_site_fract_y
_atom_site_fract_z
Rb1 Rb 0.0000 0.0000 0.1026
Ca1 Ca 0.0000 0.0000 0.5000
Os1 Os 0.0000 0.5000 0.0000
O1 O 0.0469 0.5235 0.0933
O2 O 0.0753 0.5376 0.3452
# M_tot, μB/atom: 0.00
# Raw total energy, eV/atom: -6.78
# DOS at the Fermi energy, states/eV/f.u.: 5.27